Here is a relaxed NbPtF2 crystal from Alexandria via LeMat-Bulk. Energies are from PBE.

- Relative energy among the computed polymorphs: 350 meV per atom
- Symmetry: I-42d (122)

The structure in POSCAR format:
```
NbPtF2
1.0
3.8831 0.0000 0.0000
0.0000 3.8831 0.0000
0.0000 0.0000 15.2028
Nb Pt F
4 4 8
Cartesian
0.0000 0.0000 0.0000
0.0000 1.9416 3.8007
1.9416 0.0000 11.4021
1.9416 1.9416 7.6014
0.0000 0.0000 7.6014
0.0000 1.9416 11.4021
1.9416 0.0000 3.8007
1.9416 1.9416 0.0000
0.5672 0.9708 1.9003
0.9708 2.5088 5.7010
0.9708 3.3159 13.3024
1.3744 0.9708 9.5017
2.5088 2.9124 9.5017
2.9124 0.5672 13.3024
2.9124 1.3744 5.7010
3.3159 2.9124 1.9003
```

---

Here is a relaxed NbPtF2 crystal from Alexandria via LeMat-Bulk. Energies are from PBE.

- Relative energy among the computed polymorphs: 0 meV per atom
- Symmetry: R-3m (166)

The structure in POSCAR format:
```
NbPtF2
1.0
2.7550 0.0000 0.0000
-1.3775 2.3859 0.0000
0.0000 0.0000 30.9045
Nb Pt F
3 3 6
Cartesian
0.0000 0.0000 0.0000
0.0000 1.5906 20.6030
1.3775 0.7953 10.3015
0.0000 0.0000 15.4522
0.0000 1.5906 5.1508
1.3775 0.7953 25.7537
0.0000 0.0000 11.8249
0.0000 0.0000 19.0796
0.0000 1.5906 1.5234
0.0000 1.5906 8.7781
1.3775 0.7953 22.1264
1.3775 0.7953 29.3811
```

---

Here is a relaxed Nb2PtF crystal from Alexandria via LeMat-Bulk. Energies are from PBE.

- Relative energy among the computed polymorphs: 301 meV per atom
- Symmetry: I-42d (122)

The structure in POSCAR format:
```
Nb2PtF
1.0
4.5703 0.0000 0.0000
0.0000 4.5703 0.0000
0.0000 0.0000 14.0850
Nb Pt F
8 4 4
Cartesian
0.7942 1.1426 1.7606
1.1426 3.0794 5.2819
1.1426 3.7760 12.3244
1.4909 1.1426 8.8031
3.0794 3.4277 8.8031
3.4277 0.7942 12.3244
3.4277 1.4909 5.2819
3.7760 3.4277 1.7606
0.0000 0.0000 7.0425
0.0000 2.2851 10.5637
2.2851 0.0000 3.5212
2.2851 2.2851 0.0000
0.0000 0.0000 0.0000
0.0000 2.2851 3.5212
2.2851 0.0000 10.5637
2.2851 2.2851 7.0425
```

---

Here is a relaxed NbPtF2 crystal from Alexandria via LeMat-Bulk. Energies are from PBE.

- Relative energy among the computed polymorphs: 853 meV per atom
- Symmetry: Fm-3m (225)

The structure in POSCAR format:
```
NbPtF2
1.0
5.9462 0.0000 0.0000
0.0000 5.9462 0.0000
0.0000 0.0000 5.9462
Nb Pt F
4 4 8
Cartesian
0.0000 0.0000 0.0000
0.0000 2.9731 2.9731
2.9731 0.0000 2.9731
2.9731 2.9731 0.0000
0.0000 0.0000 2.9731
0.0000 2.9731 0.0000
2.9731 0.0000 0.0000
2.9731 2.9731 2.9731
1.4865 1.4865 1.4865
1.4865 1.4865 4.4596
1.4865 4.4596 1.4865
1.4865 4.4596 4.4596
4.4596 1.4865 1.4865
4.4596 1.4865 4.4596
4.4596 4.4596 1.4865
4.4596 4.4596 4.4596
```

---

Question: What is the formula in the first record?
Answer: NbPtF2

---

Question: The lowest relative energy among the computed polymorphs belongs to which entry?
Answer: number 2

---

Question: relative energy among the computed polymorphs of number 4 (NbPtF2)?
Answer: 853 meV per atom

---

Question: Look up the relative energy among the computed polymorphs of the second one.
Answer: 0 meV per atom